# Li4FeOF5 SCAN PBEsol geometry
# Formation energy from raw total energies, kcal/mol of atoms: -63.48
# ρ, g/cm³: 2.665
# Energy, eV/cell: -491.40
# V, Å³ per cell: 727.7
# Excess energy over the best structure of this formula in the dataset, meV per atom: 6.8
data_Li4FeOF5
_symmetry_space_group_name_H-M 'C 1 m 1'
_symmetry_Int_Tables_number 8
_cell_length_a 5.671
_cell_length_b 9.800
_cell_length_c 13.092
_cell_angle_alpha 90.00
_cell_angle_beta 90.26
_cell_angle_gamma 90.00
loop_
_symmetry_equiv_pos_as_xyz
'x,y,z'
'x,-y,z'
'x+1/2,y+1/2,z'
'x+1/2,-y+1/2,z'
loop_
_atom_site_label
_atom_site_type_symbol
_atom_site_fract_x
_atom_site_fract_y
_atom_site_fract_z
_atom_site_occupancy
Li1 Li 0.000 0.000 0.000 1
Li2 Li 0.002 0.339 0.690 1
Li3 Li 0.004 0.338 0.395 1
Li4 Li 0.153 0.500 0.846 1
Li5 Li 0.166 0.167 0.550 1
Li6 Li 0.168 0.171 0.843 1
Li7 Li 0.482 0.500 0.677 1
Li8 Li 0.491 0.500 0.389 1
Fe1 Fe 0.164 0.500 0.191 1
Fe2 Fe 0.165 0.167 0.194 1
O1 O 0.497 0.500 0.213 1
O2 O 0.498 0.166 0.204 1
F1 F 0.000 0.000 0.863 1
F2 F 0.037 0.000 0.525 1
F3 F 0.151 0.153 0.053 1
F4 F 0.160 0.163 0.693 1
F5 F 0.161 0.500 0.353 1
F6 F 0.169 0.170 0.354 1
F7 F 0.169 0.500 0.699 1
F8 F 0.193 0.500 0.050 1
F9 F 0.479 0.186 0.530 1
F10 F 0.496 0.168 0.845 1